Mn3FeCo4 | PBE-GGA | relaxed

```
data_Mn3FeCo4
_cell_length_a 2.8536
_cell_length_b 2.8536
_cell_length_c 11.4310
_cell_angle_alpha 90.00
_cell_angle_beta 90.00
_cell_angle_gamma 90.00
_symmetry_space_group_name_H-M 'P 4/m m m'
_symmetry_Int_Tables_number 123
_symmetry_space_group_name_Hall '-P 4 2'
loop_
_atom_site_label
_atom_site_fract_x
_atom_site_fract_y
_atom_site_fract_z
Mn1 0.0000 0.0000 0.0000
Mn2 0.0000 0.0000 0.2493
Fe1 0.0000 0.0000 0.5000
Co1 0.5000 0.5000 0.1245
Co2 0.5000 0.5000 0.3780
```

Computed properties:
- energy of formation (eV/atom) = -0.018
- size of the total moment (Bohr magnetons per cell) = 17.02